(1)
Here is YAl4Re after structural relaxation from Alexandria via LeMat-Bulk. Energies are from PBE-GGA.

Calculated values
E   -5.722 eV/atom
Fermi-level density of states   4.94 states/eV per cell
Formation enthalpy at 0 K   -0.07 eV per atom

abc: 5.239 5.239 5.239
angles: 60.00 60.00 60.00
Fractional coordinates of all 6 atoms:
Al (0.874, 0.375, 0.375)
Al (0.375, 0.874, 0.375)
Al (0.375, 0.375, 0.874)
Al (0.375, 0.375, 0.375)
Re (0.750, 0.750, 0.750)
Y (0.000, 0.000, 0.000)

---

(2)
Here is Y3MgN after structural relaxation from Alexandria via LeMat-Bulk. Energies are from PBE-GGA.

Calculated values
E   -6.181 eV/atom
Energy above the most stable polymorph in this dataset   0.4042 eV/atom
Uncorrected formation energy   -318 meV/atom
Fermi-level density of states   7.82 states/eV per cell

abc: 6.714 6.714 7.647
angles: 63.96 63.96 90.00
Fractional coordinates of all 10 atoms:
N (0.000, 0.000, 0.000)
N (0.250, 0.750, 0.500)
Y (0.630, 0.881, 0.238)
Y (0.119, 0.868, 0.762)
Y (0.119, 0.370, 0.762)
Y (0.372, 0.372, 0.256)
Y (0.628, 0.628, 0.744)
Y (0.132, 0.881, 0.238)
Mg (0.628, 0.128, 0.745)
Mg (0.872, 0.372, 0.255)

---

(3)
Here is Ba4TeSe after structural relaxation from Alexandria via LeMat-Bulk. Energies are from PBE-GGA.

Calculated values
E   -2.665 eV/atom
Uncorrected formation energy   -279 meV/atom
Fermi-level density of states   6.42 states/eV per cell

abc: 7.058 7.058 7.058
angles: 60.00 60.00 60.00
Fractional coordinates of all 6 atoms:
Ba (0.375, 0.875, 0.375)
Ba (0.375, 0.375, 0.375)
Ba (0.875, 0.375, 0.375)
Ba (0.375, 0.375, 0.875)
Se (0.750, 0.750, 0.750)
Te (0.000, 0.000, 0.000)

---

(4)
Here is ThTlTe3Au after structural relaxation from Alexandria via LeMat-Bulk. Energies are from PBE-GGA.

Calculated values
E   -4.486 eV/atom
Uncorrected formation energy   -738 meV/atom

abc: 4.471 9.551 10.301
angles: 107.80 90.00 90.00
Fractional coordinates of all 12 atoms:
Tl (0.750, 0.797, 0.754)
Tl (0.250, 0.203, 0.246)
Te (0.750, 0.447, 0.155)
Te (0.250, 0.099, 0.873)
Te (0.750, 0.901, 0.127)
Te (0.750, 0.231, 0.515)
Te (0.250, 0.553, 0.845)
Te (0.250, 0.769, 0.485)
Th (0.750, 0.311, 0.827)
Th (0.250, 0.689, 0.173)
Au (0.250, 0.102, 0.604)
Au (0.750, 0.898, 0.396)